The following is a GGA-PBE calculation of an optimized crystal structure of RuPb2Br, from Alexandria.

Output
Energy above the lowest structure with this stoichiometry in meV/atom: 57
Energy relative to the elements, uncorrected in kJ/mol of formula units: 71
SG: Imm2
Calculated total energy in eV/atom: -4.407
Volume in Å³ per cell: 112.35

```
RuPb2Br
1.0
8.2391 0.0221 0.0018
6.4159 5.1691 -0.0018
-7.1047 -3.2247 2.6474
Pb Ru Br
2 1 1
direct
0.9994 0.9994 0.0000 Pb
0.3165 0.8165 0.5000 Pb
0.4728 0.4728 0.0000 Ru
0.7113 0.2113 0.5000 Br
```